(1)
A relaxed Sm8Te4As3C crystal, computed with PBE.

```
data_Sm8Te4As3C
_chemical_formula_sum 'Sm8 Te4 As3 C1'
_cell_length_a 8.686
_cell_length_b 8.686
_cell_length_c 8.686
_cell_angle_alpha 58.13
_cell_angle_beta 58.13
_cell_angle_gamma 58.13
_symmetry_space_group_name_H-M 'P 1'
_symmetry_Int_Tables_number 1
_symmetry_space_group_name_Hall 'P 1'
loop_
_atom_site_label
_atom_site_type_symbol
_atom_site_fract_x
_atom_site_fract_y
_atom_site_fract_z
Sm1 Sm 0.240 0.240 0.240
Sm2 Sm 0.261 0.723 0.723
Sm3 Sm 0.277 0.277 0.739
Sm4 Sm 0.277 0.739 0.277
Sm5 Sm 0.723 0.261 0.723
Sm6 Sm 0.723 0.723 0.261
Sm7 Sm 0.739 0.277 0.277
Sm8 Sm 0.760 0.760 0.760
Te1 Te 0.000 0.000 0.000
Te2 Te 0.000 0.500 0.500
Te3 Te 0.500 0.000 0.500
Te4 Te 0.500 0.500 0.000
As1 As 0.000 0.000 0.500
As2 As 0.000 0.500 0.000
As3 As 0.500 0.000 0.000
C1 C 0.500 0.500 0.500
```

Properties
formation energy (no corrections) = -1.341 eV per atom


(2)
A relaxed Tb9Ho4Zn11 crystal, computed with PBE.

```
data_Tb9Ho4Zn11
_chemical_formula_sum 'Tb9 Ho4 Zn11'
_cell_length_a 13.101
_cell_length_b 13.101
_cell_length_c 3.457
_cell_angle_alpha 90.00
_cell_angle_beta 90.00
_cell_angle_gamma 108.19
_symmetry_space_group_name_H-M 'P 1'
_symmetry_Int_Tables_number 1
_symmetry_space_group_name_Hall 'P 1'
loop_
_atom_site_label
_atom_site_type_symbol
_atom_site_fract_x
_atom_site_fract_y
_atom_site_fract_z
Tb1 Tb 0.000 0.000 0.000
Tb2 Tb 0.123 0.648 0.000
Tb3 Tb 0.295 0.476 0.000
Tb4 Tb 0.352 0.877 0.000
Tb5 Tb 0.476 0.295 0.000
Tb6 Tb 0.524 0.705 0.000
Tb7 Tb 0.648 0.123 0.000
Tb8 Tb 0.705 0.524 0.000
Tb9 Tb 0.877 0.352 0.000
Ho1 Ho 0.079 0.255 0.000
Ho2 Ho 0.255 0.079 0.000
Ho3 Ho 0.745 0.921 0.000
Ho4 Ho 0.921 0.745 0.000
Zn1 Zn 0.083 0.446 0.500
Zn2 Zn 0.130 0.870 0.500
Zn3 Zn 0.277 0.277 0.500
Zn4 Zn 0.325 0.675 0.500
Zn5 Zn 0.446 0.083 0.500
Zn6 Zn 0.500 0.500 0.500
Zn7 Zn 0.554 0.917 0.500
Zn8 Zn 0.675 0.325 0.500
Zn9 Zn 0.723 0.723 0.500
Zn10 Zn 0.870 0.130 0.500
Zn11 Zn 0.917 0.554 0.500
```

Properties
formation energy = -0.2457 eV per atom


(3)
A relaxed BaNbW3 crystal, computed with PBE.

```
data_BaNbW3
_chemical_formula_sum 'Ba1 Nb1 W3'
_cell_length_a 4.908
_cell_length_b 4.908
_cell_length_c 4.908
_cell_angle_alpha 90.00
_cell_angle_beta 90.00
_cell_angle_gamma 90.00
_symmetry_space_group_name_H-M 'P 1'
_symmetry_Int_Tables_number 1
_symmetry_space_group_name_Hall 'P 1'
loop_
_atom_site_label
_atom_site_type_symbol
_atom_site_fract_x
_atom_site_fract_y
_atom_site_fract_z
Ba1 Ba 0.000 0.000 0.000
Nb1 Nb 0.500 0.500 0.500
W1 W 0.000 0.000 0.500
W2 W 0.000 0.500 0.000
W3 W 0.500 0.000 0.000
```

Properties
formation energy = 3.7168 eV per atom


(4)
A relaxed TlGa crystal, computed with PBE.

```
data_TlGa
_chemical_formula_sum 'Tl2 Ga2'
_cell_length_a 3.373
_cell_length_b 3.700
_cell_length_c 8.120
_cell_angle_alpha 90.00
_cell_angle_beta 90.00
_cell_angle_gamma 90.00
_symmetry_space_group_name_H-M 'P 1'
_symmetry_Int_Tables_number 1
_symmetry_space_group_name_Hall 'P 1'
loop_
_atom_site_label
_atom_site_type_symbol
_atom_site_fract_x
_atom_site_fract_y
_atom_site_fract_z
Tl1 Tl 0.250 0.250 0.162
Tl2 Tl 0.750 0.750 0.838
Ga1 Ga 0.250 0.250 0.582
Ga2 Ga 0.750 0.750 0.418
```

Properties
formation energy = 0.0403 eV per atom


(5)
A relaxed NaY2NbRe crystal, computed with PBE.

```
data_NaY2NbRe
_chemical_formula_sum 'Na1 Y2 Nb1 Re1'
_cell_length_a 5.258
_cell_length_b 5.258
_cell_length_c 5.419
_cell_angle_alpha 90.00
_cell_angle_beta 90.00
_cell_angle_gamma 90.00
_symmetry_space_group_name_H-M 'P 1'
_symmetry_Int_Tables_number 1
_symmetry_space_group_name_Hall 'P 1'
loop_
_atom_site_label
_atom_site_type_symbol
_atom_site_fract_x
_atom_site_fract_y
_atom_site_fract_z
Na1 Na 0.000 0.000 0.000
Y1 Y 0.000 0.500 0.500
Y2 Y 0.500 0.000 0.500
Nb1 Nb 0.500 0.500 0.000
Re1 Re 0.000 0.000 0.500
```

Properties
formation energy = 1.3154 eV per atom


(6)
A relaxed ZrSbTe2As crystal, computed with PBE.

```
data_ZrSbTe2As
_chemical_formula_sum 'Zr1 Sb1 Te2 As1'
_cell_length_a 5.368
_cell_length_b 5.368
_cell_length_c 5.159
_cell_angle_alpha 90.00
_cell_angle_beta 90.00
_cell_angle_gamma 90.00
_symmetry_space_group_name_H-M 'P 1'
_symmetry_Int_Tables_number 1
_symmetry_space_group_name_Hall 'P 1'
loop_
_atom_site_label
_atom_site_type_symbol
_atom_site_fract_x
_atom_site_fract_y
_atom_site_fract_z
Zr1 Zr 0.000 0.000 0.000
Sb1 Sb 0.500 0.500 0.000
Te1 Te 0.000 0.500 0.500
Te2 Te 0.500 0.000 0.500
As1 As 0.500 0.500 0.500
```

Properties
formation energy (no corrections) = 0.560 eV per atom


(7)
A relaxed Ce2CdSe4 crystal, computed with PBE.

```
data_Ce2CdSe4
_chemical_formula_sum 'Ce4 Cd2 Se8'
_cell_length_a 7.752
_cell_length_b 7.752
_cell_length_c 7.752
_cell_angle_alpha 110.88
_cell_angle_beta 110.88
_cell_angle_gamma 106.69
_symmetry_space_group_name_H-M 'P 1'
_symmetry_Int_Tables_number 1
_symmetry_space_group_name_Hall 'P 1'
loop_
_atom_site_label
_atom_site_type_symbol
_atom_site_fract_x
_atom_site_fract_y
_atom_site_fract_z
Ce1 Ce 0.010 0.125 0.385
Ce2 Ce 0.375 0.990 0.115
Ce3 Ce 0.740 0.625 0.615
Ce4 Ce 0.875 0.260 0.885
Cd1 Cd 0.250 0.750 0.500
Cd2 Cd 0.500 0.500 0.000
Se1 Se 0.003 0.741 0.121
Se2 Se 0.118 0.997 0.738
Se3 Se 0.131 0.509 0.762
Se4 Se 0.259 0.381 0.262
Se5 Se 0.491 0.253 0.621
Se6 Se 0.619 0.882 0.879
Se7 Se 0.632 0.869 0.379
Se8 Se 0.747 0.368 0.238
```

Properties
formation energy (no corrections) = -1.382 eV per atom


(8)
A relaxed PrHoAl crystal, computed with PBE.

```
data_PrHoAl
_chemical_formula_sum 'Pr1 Ho1 Al1'
_cell_length_a 7.302
_cell_length_b 7.302
_cell_length_c 7.302
_cell_angle_alpha 152.25
_cell_angle_beta 152.25
_cell_angle_gamma 39.64
_symmetry_space_group_name_H-M 'P 1'
_symmetry_Int_Tables_number 1
_symmetry_space_group_name_Hall 'P 1'
loop_
_atom_site_label
_atom_site_type_symbol
_atom_site_fract_x
_atom_site_fract_y
_atom_site_fract_z
Pr1 Pr 0.000 0.000 0.000
Ho1 Ho 0.706 0.706 0.000
Al1 Al 0.345 0.345 0.000
```

Properties
formation energy = -0.2156 eV per atom